No. 1
Density functional theory data (PBE) for a relaxed TaRuOF2 crystal.

Cell and atoms, written as POSCAR:
```
TaRuOF2
1.0
4.351 0.000 0.000
0.000 4.351 0.000
0.000 0.000 3.769
Ta Ru O F
1 1 1 2
direct
0.000 0.000 0.000
0.500 0.500 0.500
0.500 0.500 0.000
0.000 0.500 0.500
0.500 0.000 0.500
```

Properties
Space-group type   No. 123
E_tot   -5.955 eV per atom
Formation energy (no corrections)   0.05 eV/f.u.
DOS(E_F)   5.8 states/eV/f.u.

=====

No. 2
Density functional theory data (PBE) for a relaxed TaRuOF2 crystal.

Cell and atoms, written as POSCAR:
```
TaRuOF2
1.0
4.208 0.000 0.000
0.000 4.208 0.000
0.000 0.000 3.946
Ta Ru O F
1 1 1 2
direct
0.000 0.000 0.000
0.500 0.500 0.500
0.000 0.000 0.500
0.000 0.500 0.000
0.500 0.000 0.000
```

Properties
Space-group type   No. 123
E_tot   -6.908 eV per atom
Formation energy (no corrections)   -4.71 eV/f.u.
DOS(E_F)   4.6 states/eV/f.u.

=====

No. 3
Density functional theory data (PBE) for a relaxed TaRuO2F crystal.

Cell and atoms, written as POSCAR:
```
TaRuO2F
1.0
3.998 0.000 0.000
0.000 3.998 0.000
0.000 0.000 4.132
Ta Ru O F
1 1 2 1
direct
0.000 0.000 0.000
0.500 0.500 0.500
0.000 0.500 0.000
0.500 0.000 0.000
0.000 0.000 0.500
```

Properties
Space-group type   No. 123
E_tot   -7.711 eV per atom
Formation energy (no corrections)   -5.64 eV/f.u.
DOS(E_F)   4.6 states/eV/f.u.

=====

No. 4
Density functional theory data (PBE) for a relaxed TeRuO2F crystal.

Cell and atoms, written as POSCAR:
```
TeRuO2F
1.0
3.996 0.000 0.000
0.000 3.996 0.000
0.000 0.000 4.186
Te Ru O F
1 1 2 1
direct
0.000 0.000 0.000
0.500 0.500 0.500
0.000 0.500 0.500
0.500 0.000 0.500
0.500 0.500 0.000
```

Properties
Space-group type   No. 123
E_tot   -5.182 eV per atom
Formation energy (no corrections)   -1.71 eV/f.u.
DOS(E_F)   3.7 states/eV/f.u.

=====

No. 5
Density functional theory data (PBE) for a relaxed TeRuOF2 crystal.

Cell and atoms, written as POSCAR:
```
TeRuOF2
1.0
4.685 0.000 0.000
0.000 4.685 0.000
0.000 0.000 4.072
Te Ru O F
1 1 1 2
direct
0.000 0.000 0.000
0.500 0.500 0.500
0.000 0.000 0.500
0.000 0.500 0.000
0.500 0.000 0.000
```

Properties
Space-group type   No. 123
E_tot   -4.290 eV per atom
Formation energy (no corrections)   -0.33 eV/f.u.
DOS(E_F)   3.0 states/eV/f.u.

=====

No. 6
Density functional theory data (PBE) for a relaxed TeRuO2F crystal.

Cell and atoms, written as POSCAR:
```
TeRuO2F
1.0
4.241 0.000 0.000
0.000 4.241 0.000
0.000 0.000 4.365
Te Ru O F
1 1 2 1
direct
0.000 0.000 0.000
0.500 0.500 0.500
0.000 0.500 0.000
0.500 0.000 0.000
0.000 0.000 0.500
```

Properties
Space-group type   No. 123
E_tot   -4.815 eV per atom
Formation energy (no corrections)   0.13 eV/f.u.
DOS(E_F)   3.1 states/eV/f.u.